Entry from the Alexandria database: an optimized crystal structure of Ac2Cd3Hg3 (PBE).

```
Ac2Cd3Hg3
1.0
2.6971 1.5571 8.8012
-2.6971 1.5571 8.8012
0.0000 -3.1143 8.8012
Ac Cd Hg
2 3 3
direct
0.0000 0.0000 0.0000 Ac
0.4966 0.4966 0.4966 Ac
0.2472 0.2472 0.2472 Cd
0.7497 0.7497 0.7497 Cd
0.8741 0.8741 0.8741 Cd
0.1250 0.1250 0.1250 Hg
0.3720 0.3720 0.3720 Hg
0.6222 0.6222 0.6222 Hg
```

Results
V: 27.72 Å³ per atom
calculated total energy: -1.86 eV per atom
ΔE_f: -0.3771 eV/atom
crystal system: trigonal
space-group type: R3m, No. 160